Crystalline Ac2CeNi3Ge4 at its relaxed geometry, computed with GGA-PBE.

The structure in CIF format:
```
data_Ac2CeNi3Ge4
_chemical_formula_sum 'Ac2 Ce1 Ni3 Ge4'
_symmetry_space_group_name_H-M 'P -4 m 2'
_symmetry_Int_Tables_number 115
_cell_length_a 4.344
_cell_length_b 4.344
_cell_length_c 11.137
_cell_angle_alpha 90.00
_cell_angle_beta 90.00
_cell_angle_gamma 90.00
loop_
_symmetry_equiv_pos_as_xyz
'x,y,z'
'y,-x,-z'
'-x,-y,z'
'-y,x,-z'
'-x,y,z'
'-y,-x,-z'
'x,-y,z'
'y,x,-z'
loop_
_atom_site_label
_atom_site_fract_x
_atom_site_fract_y
_atom_site_fract_z
Ac1 0.000 0.500 0.224
Ce1 0.000 0.000 0.500
Ni1 0.000 0.500 0.894
Ni2 0.500 0.500 0.500
Ge1 0.000 0.000 0.000
Ge2 0.000 0.500 0.672
Ge3 0.500 0.500 0.000
```

Properties
- ΔE_f: -0.5671 eV/atom

=====

Crystalline GaPHS2 at its relaxed geometry, computed with GGA-PBE.

The structure in CIF format:
```
data_GaPHS2
_chemical_formula_sum 'Ga1 P1 H1 S2'
_symmetry_space_group_name_H-M 'P 4/m m m'
_symmetry_Int_Tables_number 123
_symmetry_space_group_name_Hall '-P 4 2'
_cell_length_a 4.748
_cell_length_b 4.748
_cell_length_c 4.885
_cell_angle_alpha 90.00
_cell_angle_beta 90.00
_cell_angle_gamma 90.00
loop_
_atom_site_label
_atom_site_fract_x
_atom_site_fract_y
_atom_site_fract_z
Ga1 0.000 0.000 0.000
P1 0.000 0.000 0.500
H1 0.500 0.500 0.500
S1 0.000 0.500 0.000
```

Properties
- Distance to the lowest polymorph of the same formula: 558 meV per atom

=====

Crystalline InFe2CuN at its relaxed geometry, computed with GGA-PBE.

The structure in CIF format:
```
data_InFe2CuN
_chemical_formula_sum 'In1 Fe2 Cu1 N1'
_symmetry_space_group_name_H-M 'P 4/m m m'
_symmetry_Int_Tables_number 123
_symmetry_space_group_name_Hall '-P 4 2'
_cell_length_a 3.878
_cell_length_b 3.878
_cell_length_c 4.106
_cell_angle_alpha 90.00
_cell_angle_beta 90.00
_cell_angle_gamma 90.00
loop_
_atom_site_label
_atom_site_fract_x
_atom_site_fract_y
_atom_site_fract_z
In1 0.000 0.000 0.000
Fe1 0.000 0.500 0.500
Cu1 0.500 0.500 0.000
N1 0.500 0.500 0.500
```

Properties
- Raw formation energy: 0.122 eV/atom

=====

Crystalline TeH3I at its relaxed geometry, computed with GGA-PBE.

The structure in CIF format:
```
data_TeH3I
_chemical_formula_sum 'Te3 H9 I3'
_symmetry_space_group_name_H-M 'R 3 m'
_symmetry_Int_Tables_number 160
_symmetry_space_group_name_Hall 'R 3 -2"'
_cell_length_a 6.1097
_cell_length_b 6.1097
_cell_length_c 10.3174
_cell_angle_alpha 90.00
_cell_angle_beta 90.00
_cell_angle_gamma 120.00
loop_
_atom_site_label
_atom_site_fract_x
_atom_site_fract_y
_atom_site_fract_z
Te1 0.0000 0.0000 0.0000
H1 0.1987 0.3973 0.5714
I1 0.0000 0.0000 0.4369
```

Properties
- Distance to the lowest polymorph of the same formula: 0 meV per atom

=====

Crystalline ZrTa2CrPd at its relaxed geometry, computed with GGA-PBE.

The structure in CIF format:
```
data_ZrTa2CrPd
_chemical_formula_sum 'Zr1 Ta2 Cr1 Pd1'
_symmetry_space_group_name_H-M 'P 4/m m m'
_symmetry_Int_Tables_number 123
_symmetry_space_group_name_Hall '-P 4 2'
_cell_length_a 4.886
_cell_length_b 4.886
_cell_length_c 4.455
_cell_angle_alpha 90.00
_cell_angle_beta 90.00
_cell_angle_gamma 90.00
loop_
_atom_site_label
_atom_site_fract_x
_atom_site_fract_y
_atom_site_fract_z
Zr1 0.000 0.000 0.000
Ta1 0.000 0.500 0.500
Cr1 0.500 0.500 0.000
Pd1 0.500 0.500 0.500
```

Properties
- Distance to the lowest polymorph of the same formula: 504 meV per atom
- ΔE_f: 1.2966 eV/atom

=====

Crystalline Ho2OsO6 at its relaxed geometry, computed with GGA-PBE.

The structure in CIF format:
```
data_Ho2OsO6
_chemical_formula_sum 'Ho4 Os2 O12'
_symmetry_space_group_name_H-M 'P 1 21/c 1'
_symmetry_Int_Tables_number 14
_cell_length_a 5.442
_cell_length_b 5.720
_cell_length_c 8.925
_cell_angle_alpha 90.00
_cell_angle_beta 119.52
_cell_angle_gamma 90.00
loop_
_symmetry_equiv_pos_as_xyz
'x,y,z'
'-x,-y,-z'
'-x,y+1/2,-z+1/2'
'x,-y+1/2,z+1/2'
loop_
_atom_site_label
_atom_site_fract_x
_atom_site_fract_y
_atom_site_fract_z
Ho1 0.187 0.087 0.233
Os1 0.500 0.000 0.000
O1 0.151 0.176 0.946
O2 0.258 0.730 0.903
O3 0.447 0.082 0.778
```

Properties
- Raw formation energy: -2.406 eV/atom

=====

Crystalline K3Bi4Pd2 at its relaxed geometry, computed with GGA-PBE.

The structure in CIF format:
```
data_K3Bi4Pd2
_chemical_formula_sum 'K12 Bi16 Pd8'
_symmetry_space_group_name_H-M 'C 1 2/c 1'
_symmetry_Int_Tables_number 15
_cell_length_a 16.611
_cell_length_b 11.413
_cell_length_c 7.247
_cell_angle_alpha 90.00
_cell_angle_beta 111.11
_cell_angle_gamma 90.00
loop_
_symmetry_equiv_pos_as_xyz
'x,y,z'
'-x,-y,-z'
'-x,y,-z+1/2'
'x,-y,z+1/2'
'x+1/2,y+1/2,z'
'-x+1/2,-y+1/2,-z'
'-x+1/2,y+1/2,-z+1/2'
'x+1/2,-y+1/2,z+1/2'
loop_
_atom_site_label
_atom_site_fract_x
_atom_site_fract_y
_atom_site_fract_z
K1 0.000 0.092 0.250
K2 0.127 0.390 0.126
Bi1 0.150 0.269 0.673
Bi2 0.185 0.081 0.039
Pd1 0.215 0.139 0.436
```

Properties
- Distance to the lowest polymorph of the same formula: 41 meV per atom
- ΔE_f: -0.2987 eV/atom